1.
# GGA-PBE CsBeInBr4, relaxed
# crystal system = monoclinic
# uncorrected energy = -3.18 eV/atom
data_CsBeInBr4
_space_group_name_H-M_alt 'P 1 21/m 1'
_space_group_IT_number 11
_cell_length_a 6.871
_cell_length_b 7.514
_cell_length_c 10.090
_cell_angle_alpha 90.00
_cell_angle_beta 108.35
_cell_angle_gamma 90.00
loop_
_space_group_symop_operation_xyz
'x,y,z'
'-x,-y,-z'
'-x,y+1/2,-z'
'x,-y+1/2,z'
loop_
_atom_site_label
_atom_site_type_symbol
_atom_site_fract_x
_atom_site_fract_y
_atom_site_fract_z
Cs1 Cs 0.231 0.250 0.398
Be1 Be 0.118 0.250 0.789
In1 In 0.330 0.750 0.034
Br1 Br 0.174 0.250 0.017
Br2 Br 0.214 0.750 0.325
Br3 Br 0.262 0.012 0.734



2.
# GGA-PBE ErPaBi6, relaxed
# crystal system = orthorhombic
# energy of formation = -0.18 eV/atom
data_ErPaBi6
_space_group_name_H-M_alt 'A m m 2'
_space_group_IT_number 38
_cell_length_a 4.544
_cell_length_b 4.444
_cell_length_c 25.130
_cell_angle_alpha 90.00
_cell_angle_beta 90.00
_cell_angle_gamma 90.00
loop_
_space_group_symop_operation_xyz
'x,y,z'
'-x,-y,z'
'-x,y,z'
'x,-y,z'
'x,y+1/2,z+1/2'
'-x,-y+1/2,z+1/2'
'-x,y+1/2,z+1/2'
'x,-y+1/2,z+1/2'
loop_
_atom_site_label
_atom_site_type_symbol
_atom_site_fract_x
_atom_site_fract_y
_atom_site_fract_z
Er1 Er 0.000 0.000 0.000
Pa1 Pa 0.500 0.000 0.350
Bi1 Bi 0.000 0.000 0.248
Bi2 Bi 0.000 0.000 0.595
Bi3 Bi 0.000 0.000 0.872
Bi4 Bi 0.500 0.000 0.124
Bi5 Bi 0.500 0.000 0.478
Bi6 Bi 0.500 0.000 0.750



3.
# GGA-PBE Sc3RuCl, relaxed
# crystal system = cubic
# uncorrected energy = -6.11 eV/atom
data_Sc3RuCl
_space_group_name_H-M_alt 'P m -3 m'
_space_group_IT_number 221
_space_group_name_Hall '-P 4 2 3'
_cell_length_a 4.669
_cell_length_b 4.669
_cell_length_c 4.669
_cell_angle_alpha 90.00
_cell_angle_beta 90.00
_cell_angle_gamma 90.00
loop_
_atom_site_label
_atom_site_type_symbol
_atom_site_fract_x
_atom_site_fract_y
_atom_site_fract_z
Sc1 Sc 0.000 0.000 0.500
Ru1 Ru 0.500 0.500 0.500
Cl1 Cl 0.000 0.000 0.000



Q: Which formula does entry 2 have?
A: ErPaBi6